# 1
NdSmGa2Au2 after structural relaxation, computed with PBE.

CIF file:
```
data_NdSmGa2Au2
_space_group_name_H-M_alt 'P 1'
_space_group_IT_number 1
_cell_length_a 4.602
_cell_length_b 4.602
_cell_length_c 7.346
_cell_angle_alpha 90.00
_cell_angle_beta 90.00
_cell_angle_gamma 120.00
loop_
_space_group_symop_operation_xyz
'x,y,z'
loop_
_atom_site_label
_atom_site_type_symbol
_atom_site_fract_x
_atom_site_fract_y
_atom_site_fract_z
Au1 Au 0.333 0.667 0.764
Au2 Au 0.333 0.667 0.236
Nd1 Nd 0.000 0.000 0.500
Ga1 Ga 0.667 0.333 0.277
Ga2 Ga 0.667 0.333 0.723
Sm1 Sm 0.000 0.000 0.000
```

## Properties
For the excess energy over the best structure of this formula in the dataset, the calculation gives 4 meV per atom. For the calculated density, the calculation gives 10.2 g cm⁻³. The space group is No. 187.



# 2
GdSi3Ni8 after structural relaxation, computed with PBE.

CIF file:
```
data_GdSi3Ni8
_space_group_name_H-M_alt 'P 1'
_space_group_IT_number 1
_cell_length_a 7.524
_cell_length_b 7.524
_cell_length_c 7.485
_cell_angle_alpha 99.70
_cell_angle_beta 99.70
_cell_angle_gamma 130.43
loop_
_space_group_symop_operation_xyz
'x,y,z'
loop_
_atom_site_label
_atom_site_type_symbol
_atom_site_fract_x
_atom_site_fract_y
_atom_site_fract_z
Ni1 Ni 0.432 0.851 0.170
Ni2 Ni 0.568 0.149 0.830
Ni3 Ni 0.149 0.568 0.330
Ni4 Ni 0.877 0.123 0.750
Ni5 Ni 0.440 0.290 0.569
Ni6 Ni 0.139 0.803 0.579
Ni7 Ni 0.123 0.877 0.250
Ni8 Ni 0.290 0.440 0.069
Ni9 Ni 0.197 0.861 0.921
Ni10 Ni 0.851 0.432 0.670
Ni11 Ni 0.861 0.197 0.421
Ni12 Ni 0.000 0.000 0.000
Ni13 Ni 0.560 0.710 0.431
Ni14 Ni 0.710 0.560 0.931
Ni15 Ni 0.803 0.139 0.079
Ni16 Ni 0.000 0.000 0.500
Si1 Si 0.500 0.000 0.500
Si2 Si 0.277 0.185 0.825
Si3 Si 0.185 0.277 0.325
Si4 Si 0.815 0.723 0.675
Si5 Si 0.723 0.815 0.175
Si6 Si 0.000 0.500 0.000
Gd1 Gd 0.632 0.368 0.250
Gd2 Gd 0.368 0.632 0.750
```

## Properties
The total energy comes out at -72.41 eV per formula unit. For the calculated density, the calculation gives 8.0 g cm⁻³. The space group is No. 15.